VASP calculation (PBE-GGA) on an optimized crystal structure of SrTlH3.

a b c (Å): 4.3589 4.3589 4.3589
angles (deg): 90.00 90.00 90.00
Space group Pm-3m (No. 221)
Inequivalent atoms, fractional coordinates:
Sr (0.0000, 0.0000, 0.0000) x1
Tl (0.5000, 0.5000, 0.5000) x1
H (0.0000, 0.5000, 0.5000) x3

Output
DFT total energy: -2.668 eV per atom
crystal system: cubic
calculated density: 5915 kg/m³
magnetization: 0.00 μB per formula unit
calculated volume: 82.8 Å³ per cell